(1)
Entry from OQMD: a relaxed CuAuI5 crystal (GGA-PBE).

Lattice parameters (Å, degrees): 5.5360 7.0277 7.1209 97.28 103.39 97.22
Element x y z (fractional)
Au  0.0000  0.0000  0.0000
Cu  0.0000  0.5000  0.5000
I  0.8476  0.6754  0.1271
I  0.7811  0.1679  0.2738
I  0.5000  0.5000  0.5000
I  0.2189  0.8321  0.7262
I  0.1524  0.3246  0.8729

Calculated values
**VASP energy**: -2.0954 eV per atom

***

(2)
Entry from OQMD: a relaxed Rb2CuAuI6 crystal (GGA-PBE).

Lattice parameters (Å, degrees): 8.3664 8.3664 8.3664 121.05 121.05 88.19
Element x y z (fractional)
Au  0.0000  0.0000  0.0000
Cu  0.5000  0.5000  0.0000
I  0.7673  0.2327  0.0000
I  0.2929  0.2929  0.0000
I  0.7071  0.7071  0.0000
I  0.2327  0.7673  0.0000
I  0.2327  0.2327  0.4655
I  0.7673  0.7673  0.5345
Rb  0.7500  0.2500  0.5000
Rb  0.2500  0.7500  0.5000

Calculated values
**VASP energy**: -2.4756 eV per atom

***

(3)
Entry from OQMD: a relaxed In4CuAu crystal (GGA-PBE).

Lattice parameters (Å, degrees): 4.6031 4.6031 6.5799 90.00 90.00 90.00
Element x y z (fractional)
Au  0.5000  0.5000  0.5000
Cu  0.0000  0.0000  0.0000
In  0.5000  0.0000  0.2374
In  0.0000  0.5000  0.2374
In  0.5000  0.0000  0.7626
In  0.0000  0.5000  0.7626

Calculated values
**VASP energy**: -3.1055 eV per atom

***

(4)
Entry from OQMD: a relaxed Li2In4CuAu crystal (GGA-PBE).

Lattice parameters (Å, degrees): 7.9025 5.3980 5.3980 47.05 90.00 90.00
Element x y z (fractional)
Au  0.0000  0.2835  0.2835
Cu  0.5000  0.7162  0.7162
In  0.3108  0.1396  0.1396
In  0.6892  0.1396  0.1396
In  0.2090  0.8596  0.8596
In  0.7910  0.8596  0.8596
Li  0.5000  0.4306  0.4306
Li  0.0000  0.5713  0.5713

Calculated values
**VASP energy**: -2.9316 eV per atom